[1]
The following is a DFT calculation (PBE) of an optimized crystal structure of La3SeBr.

Cell and atoms, written as POSCAR:
```
La3SeBr
1.0
-4.698 -3.272 -0.039
1.803 -2.646 4.746
-2.731 3.882 3.201
Se Br La
1 1 3
Cartesian
0.000 0.000 0.000
-2.813 -1.018 3.954
0.901 -1.323 2.373
-1.365 1.941 1.601
-2.349 -1.636 -0.020
```

Properties
D(E_F)	1.459	states/eV per atom
polymorph energy (0 for the lowest one)	0.0000	eV/atom
energy relative to the elements, uncorrected	-651	meV per atom



[2]
The following is a DFT calculation (PBE) of an optimized crystal structure of LaSeBr4.

Cell and atoms, written as POSCAR:
```
LaSeBr4
1.0
4.446 -4.186 0.476
-1.418 -5.874 0.999
0.796 -4.141 -4.442
La Se Br
1 1 4
Cartesian
2.868 -10.650 -2.226
0.000 0.000 0.000
3.657 -7.418 -0.875
1.832 -7.396 -3.334
0.725 -8.262 -0.613
1.434 -5.325 -1.113
```

Properties
D(E_F)	1.308	states/eV per atom
energy relative to the elements, uncorrected	-275	meV per atom